1.
This record from the Alexandria database describes a geometry-optimized K2SrTl2Bi2 structure. The functional is PBE.

Output
The calculation puts the uncorrected energy at -2.6916 eV/atom. The value obtained for the magnetization is 0.00 μB per cell. As for the crystal system: trigonal. As for the density of states at the Fermi level: 0.33 states/eV/atom.

Cell lengths 5.7260, 5.7260, 10.2233 Å; angles 73.74, 73.74, 60.00 degrees
With the nearest neighbours (Å) after each atom.
Sites, in units of the cell vectors:
K (0.8681, 0.8681, 0.3958)  4 Bi 3.80-3.89, 1 Sr 3.83, 3 K 3.87, 3 Tl 4.01
K (0.1319, 0.1319, 0.6042)  4 Bi 3.80-3.89, 1 Sr 3.83, 3 K 3.87, 3 Tl 4.01
Sr (0.0000, 0.0000, 0.0000)  6 Tl 3.66, 2 K 3.83, 6 Bi 3.84
Tl (0.3873, 0.3873, 0.8382)  4 Bi 3.33-3.52, 3 Sr 3.66
Tl (0.6127, 0.6127, 0.1618)  4 Bi 3.33-3.52, 3 Sr 3.66
Bi (0.7342, 0.7342, 0.7975)  4 Tl 3.33-3.52
Bi (0.2658, 0.2658, 0.2025)  4 Tl 3.33-3.52



2.
This record from the Alexandria database describes a geometry-optimized KSrZn2Bi2 structure. The functional is PBE.

Output
The calculation puts the uncorrected energy at -2.5604 eV/atom. The value obtained for the magnetization is 0.00 μB per cell. As for the crystal system: trigonal. As for the density of states at the Fermi level: 0.49 states/eV/atom.

Cell lengths 4.7724, 4.7724, 9.9209 Å; angles 90.00, 90.00, 120.00 degrees
With the nearest neighbours (Å) after each atom.
Sites, in units of the cell vectors:
Sr (0.0000, 0.0000, 0.5000)  6 Zn 3.32, 6 Bi 3.65
Bi (0.3333, 0.6667, 0.2592)  3 Zn 2.81
Bi (0.6667, 0.3333, 0.7408)  3 Zn 2.81
Zn (0.6667, 0.3333, 0.3136)  3 Bi 2.81
Zn (0.3333, 0.6667, 0.6864)  3 Bi 2.81
K (0.0000, 0.0000, 0.0000)  6 Bi 3.77, 6 Zn 4.16



- Which value of uncorrected energy does entry 1 give?
  -2.6916 eV/atom



Please write out number 2 again, unchanged.
This record from the Alexandria database describes a geometry-optimized KSrZn2Bi2 structure. The functional is PBE.

Output
The calculation puts the uncorrected energy at -2.5604 eV/atom. The value obtained for the magnetization is 0.00 μB per cell. As for the crystal system: trigonal. As for the density of states at the Fermi level: 0.49 states/eV/atom.

Cell lengths 4.7724, 4.7724, 9.9209 Å; angles 90.00, 90.00, 120.00 degrees
With the nearest neighbours (Å) after each atom.
Sites, in units of the cell vectors:
Sr (0.0000, 0.0000, 0.5000)  6 Zn 3.32, 6 Bi 3.65
Bi (0.3333, 0.6667, 0.2592)  3 Zn 2.81
Bi (0.6667, 0.3333, 0.7408)  3 Zn 2.81
Zn (0.6667, 0.3333, 0.3136)  3 Bi 2.81
Zn (0.3333, 0.6667, 0.6864)  3 Bi 2.81
K (0.0000, 0.0000, 0.0000)  6 Bi 3.77, 6 Zn 4.16